VASP calculation (PBE+U) on Li3Cr2PtO6 after structural relaxation.

Geometry as POSCAR:
```
Li3Cr2PtO6
1.0
-3.375 -3.467 -1.913
4.604 0.495 -2.371
1.411 -2.312 4.578
Pt Li Cr O
1 3 2 6
Direct
0.000 0.000 0.000
0.500 0.500 0.500
0.843 0.157 0.500
0.157 0.843 0.500
0.335 0.665 0.000
0.665 0.335 0.000
0.282 0.282 0.749
0.916 0.574 0.779
0.574 0.916 0.779
0.426 0.084 0.221
0.718 0.718 0.251
0.084 0.426 0.221
```

Results
The value obtained for the uncorrected energy is -6.347 eV/atom. For the spin magnetization, the calculation gives 7.00 μB/cell.